(1)
## ZnP3 (SCAN)

Data for ZnP3 at its PBEsol-relaxed geometry.

Calculated values
Crystal system: tetragonal
Formation enthalpy at 0 K (eV per atom): 0.674
Magnetic moment (μB/cell): 0.0
Offset from the most stable computed form (meV/atom): 833

Geometry as extended XYZ:
```
4
Lattice="-1.536 1.860 -0.205 -1.673 -1.247 1.228 3.498 3.844 8.669" Properties=species:S:1:pos:R:3 pbc="T T T"
P 1.068 3.243 7.133
P -0.778 1.214 2.559
P 1.749 1.922 4.335
Zn 0.000 0.000 0.000
```

---

(2)
## Zn2P (SCAN)

Data for Zn2P at its PBEsol-relaxed geometry.

Calculated values
Crystal system: tetragonal
Formation enthalpy at 0 K (eV per atom): 0.335
Magnetic moment (μB/cell): 0.0

Geometry as extended XYZ:
```
6
Lattice="3.271 0.000 0.000 0.000 3.271 0.000 -1.635 -1.635 8.861" Properties=species:S:1:pos:R:3 pbc="T T T"
Zn 0.000 0.000 7.604
Zn 1.635 0.000 5.688
Zn 1.635 0.000 3.173
Zn 1.635 1.635 1.257
P 0.000 1.635 4.431
P 0.000 0.000 0.000
```

---

(3)
## ZnP2 (SCAN)

Data for ZnP2 at its PBEsol-relaxed geometry.

Calculated values
Crystal system: tetragonal
Formation enthalpy at 0 K (eV per atom): 0.268
Magnetic moment (μB/cell): 0.0

Geometry as extended XYZ:
```
3
Lattice="-1.160 2.187 -2.123 -0.024 -2.278 -2.334 -4.127 -1.215 3.508" Properties=species:S:1:pos:R:3 pbc="T T T"
P -2.141 -0.572 0.581
P -3.171 -0.734 -1.529
Zn 0.000 0.000 0.000
```

---

(4)
## ZnP2 (SCAN)

Data for ZnP2 at its PBEsol-relaxed geometry.

Calculated values
Crystal system: tetragonal
Formation enthalpy at 0 K (eV per atom): -0.309
Magnetic moment (μB/cell): 0.0

Geometry as extended XYZ:
```
24
Lattice="-3.320 -3.193 2.010 3.611 -1.915 2.924 -3.987 12.330 13.000" Properties=species:S:1:pos:R:3 pbc="T T T"
P -1.537 4.534 4.924
P -0.127 -1.348 6.197
P -2.442 7.657 8.210
P -1.793 9.074 15.239
P -0.303 4.976 9.668
P -3.428 6.110 14.113
P -2.246 5.122 10.627
P -3.254 8.300 13.831
P -3.148 5.748 16.236
P -1.445 2.027 7.376
P -0.445 -1.005 4.033
P -0.736 2.560 5.348
P -1.868 -2.470 3.292
P -0.264 -3.495 6.497
P -3.100 7.122 10.210
P -3.428 2.865 7.668
Zn -1.461 1.097 3.683
Zn -3.685 3.384 9.926
Zn -1.832 4.881 12.938
Zn -1.712 -0.311 7.556
Zn -5.338 9.389 14.067
Zn 0.051 2.754 9.054
Zn 1.580 -1.083 2.819
Zn -2.386 8.777 11.689
```

---

(5)
## ZrZnP4 (SCAN)

Data for ZrZnP4 at its PBEsol-relaxed geometry.

Calculated values
Crystal system: cubic
Formation enthalpy at 0 K (eV per atom): 0.233
Magnetic moment (μB/cell): 0.0

Geometry as extended XYZ:
```
6
Lattice="-2.959 -2.247 3.398 1.802 -1.104 4.570 -1.606 2.562 4.026" Properties=species:S:1:pos:R:3 pbc="T T T"
P -1.035 -0.296 4.496
P -0.133 -0.849 6.783
P -2.517 -1.421 6.197
P -1.839 0.986 6.511
Zr 0.000 0.000 0.000
Zn -2.071 -0.592 8.995
```

---

(6)
## ZrZnP2 (SCAN)

Data for ZrZnP2 at its PBEsol-relaxed geometry.

Calculated values
Crystal system: trigonal
Formation enthalpy at 0 K (eV per atom): -0.597
Magnetic moment (μB/cell): 0.0
Offset from the most stable computed form (meV/atom): 0

Geometry as extended XYZ:
```
4
Lattice="-1.302 2.804 1.991 -0.512 -0.397 3.620 4.974 2.686 2.867" Properties=species:S:1:pos:R:3 pbc="T T T"
Zn 1.580 2.546 4.239
P 2.313 3.800 6.348
P 0.847 1.292 2.130
Zr 0.000 0.000 0.000
```

---

(7)
## ZrZnP2 (SCAN)

Data for ZrZnP2 at its PBEsol-relaxed geometry.

Calculated values
Crystal system: tetragonal
Formation enthalpy at 0 K (eV per atom): -0.478
Magnetic moment (μB/cell): 0.0
Offset from the most stable computed form (meV/atom): 119

Geometry as extended XYZ:
```
4
Lattice="-2.686 1.954 -1.564 -0.247 -2.490 -2.687 -1.689 -2.089 4.599" Properties=species:S:1:pos:R:3 pbc="T T T"
P -2.920 -0.201 0.455
P 0.000 0.000 0.000
Zn -1.466 -0.268 -2.125
Zr -1.701 -2.423 -0.107
```

---

(8)
## ZrZn3P (SCAN)

Data for ZrZn3P at its PBEsol-relaxed geometry.

Calculated values
Crystal system: cubic
Formation enthalpy at 0 K (eV per atom): 0.497
Magnetic moment (μB/cell): 0.0

Geometry as extended XYZ:
```
5
Lattice="-0.303 -0.797 4.412 -0.945 -4.311 -0.844 4.382 -0.985 0.123" Properties=species:S:1:pos:R:3 pbc="T T T"
Zr 1.567 -3.047 1.845
P 0.000 0.000 0.000
Zn 2.191 -0.492 0.061
Zn -0.473 -2.156 -0.422
Zn -0.151 -0.399 2.206
```